1.
# ScCd7Hg4, optimized geometry, DFT GGA-PBE
data_ScCd7Hg4
_chemical_formula_sum 'Sc2 Cd14 Hg8'
_symmetry_space_group_name_H-M 'C 1 2/m 1'
_symmetry_Int_Tables_number 12
_cell_length_a 12.213
_cell_length_b 6.144
_cell_length_c 9.345
_cell_angle_alpha 90.00
_cell_angle_beta 120.27
_cell_angle_gamma 90.00
loop_
_symmetry_equiv_pos_as_xyz
'x,y,z'
'-x,-y,-z'
'-x,y,-z'
'x,-y,z'
'x+1/2,y+1/2,z'
'-x+1/2,-y+1/2,-z'
'-x+1/2,y+1/2,-z'
'x+1/2,-y+1/2,z'
loop_
_atom_site_label
_atom_site_type_symbol
_atom_site_fract_x
_atom_site_fract_y
_atom_site_fract_z
_atom_site_occupancy
Sc1 Sc 0.000 0.000 0.000 1
Cd1 Cd 0.000 0.500 0.000 1
Cd2 Cd 0.003 0.000 0.331 1
Cd3 Cd 0.247 0.500 0.995 1
Cd4 Cd 0.250 0.000 0.329 1
Hg1 Hg 0.007 0.500 0.336 1
Hg2 Hg 0.243 0.000 0.670 1
# * ΔE_f: 0.044 eV/atom
# * crystal system: monoclinic
# * N(E_F): 5.04 states/eV/f.u.

=====

2.
# ScCd6Hg5, optimized geometry, DFT GGA-PBE
data_ScCd6Hg5
_chemical_formula_sum 'Sc2 Cd12 Hg10'
_symmetry_space_group_name_H-M 'C 1 2/m 1'
_symmetry_Int_Tables_number 12
_cell_length_a 5.449
_cell_length_b 9.164
_cell_length_c 11.361
_cell_angle_alpha 90.00
_cell_angle_beta 101.09
_cell_angle_gamma 90.00
loop_
_symmetry_equiv_pos_as_xyz
'x,y,z'
'-x,-y,-z'
'-x,y,-z'
'x,-y,z'
'x+1/2,y+1/2,z'
'-x+1/2,-y+1/2,-z'
'-x+1/2,y+1/2,-z'
'x+1/2,-y+1/2,z'
loop_
_atom_site_label
_atom_site_type_symbol
_atom_site_fract_x
_atom_site_fract_y
_atom_site_fract_z
_atom_site_occupancy
Sc1 Sc 0.000 0.000 0.000 1
Cd1 Cd 0.074 0.166 0.754 1
Cd2 Cd 0.081 0.500 0.751 1
Hg1 Hg 0.000 0.000 0.500 1
Hg2 Hg 0.000 0.332 0.500 1
Hg3 Hg 0.000 0.334 0.000 1
# * ΔE_f: -0.035 eV/atom
# * crystal system: monoclinic
# * N(E_F): 3.83 states/eV/f.u.

=====

3.
# ScCdHg3, optimized geometry, DFT GGA-PBE
data_ScCdHg3
_chemical_formula_sum 'Sc1 Cd1 Hg3'
_symmetry_space_group_name_H-M 'P m -3 m'
_symmetry_Int_Tables_number 221
_symmetry_space_group_name_Hall '-P 4 2 3'
_cell_length_a 5.327
_cell_length_b 5.327
_cell_length_c 5.327
_cell_angle_alpha 90.00
_cell_angle_beta 90.00
_cell_angle_gamma 90.00
loop_
_atom_site_label
_atom_site_type_symbol
_atom_site_fract_x
_atom_site_fract_y
_atom_site_fract_z
_atom_site_occupancy
Sc1 Sc 0.000 0.000 0.000 1
Cd1 Cd 0.500 0.500 0.500 1
Hg1 Hg 0.000 0.500 0.500 1
# * ΔE_f: 0.462 eV/atom
# * excess energy over the best structure of this formula in the dataset: 586.2 meV/atom
# * crystal system: cubic
# * N(E_F): 5.82 states/eV/f.u.

=====

4.
# Sc2CdHg, optimized geometry, DFT GGA-PBE
data_Sc2CdHg
_chemical_formula_sum 'Sc4 Cd2 Hg2'
_symmetry_space_group_name_H-M 'I m m m'
_symmetry_Int_Tables_number 71
_symmetry_space_group_name_Hall '-I 2 2'
_cell_length_a 3.164
_cell_length_b 5.368
_cell_length_c 12.197
_cell_angle_alpha 90.00
_cell_angle_beta 90.00
_cell_angle_gamma 90.00
loop_
_atom_site_label
_atom_site_type_symbol
_atom_site_fract_x
_atom_site_fract_y
_atom_site_fract_z
_atom_site_occupancy
Sc1 Sc 0.000 0.000 0.236 1
Cd1 Cd 0.000 0.000 0.500 1
Hg1 Hg 0.000 0.000 0.000 1
# * ΔE_f: 0.310 eV/atom
# * excess energy over the best structure of this formula in the dataset: 670.8 meV/atom
# * crystal system: orthorhombic
# * N(E_F): 5.27 states/eV/f.u.

=====

5.
# Sc2CdHg, optimized geometry, DFT GGA-PBE
data_Sc2CdHg
_chemical_formula_sum 'Sc6 Cd3 Hg3'
_symmetry_space_group_name_H-M 'R -3 m'
_symmetry_Int_Tables_number 166
_symmetry_space_group_name_Hall '-R 3 2"'
_cell_length_a 3.4231
_cell_length_b 3.4231
_cell_length_c 27.8000
_cell_angle_alpha 90.00
_cell_angle_beta 90.00
_cell_angle_gamma 120.00
loop_
_atom_site_label
_atom_site_type_symbol
_atom_site_fract_x
_atom_site_fract_y
_atom_site_fract_z
_atom_site_occupancy
Sc1 Sc 0.0000 0.0000 0.2484 1
Cd1 Cd 0.0000 0.0000 0.0000 1
Hg1 Hg 0.0000 0.0000 0.5000 1
# * ΔE_f: -0.212 eV/atom
# * excess energy over the best structure of this formula in the dataset: 148.7 meV/atom
# * crystal system: trigonal
# * N(E_F): 3.39 states/eV/f.u.

=====

6.
# Sc2CdHg, optimized geometry, DFT GGA-PBE
data_Sc2CdHg
_chemical_formula_sum 'Sc6 Cd3 Hg3'
_symmetry_space_group_name_H-M 'R -3 m'
_symmetry_Int_Tables_number 166
_symmetry_space_group_name_Hall '-R 3 2"'
_cell_length_a 3.2718
_cell_length_b 3.2718
_cell_length_c 32.5591
_cell_angle_alpha 90.00
_cell_angle_beta 90.00
_cell_angle_gamma 120.00
loop_
_atom_site_label
_atom_site_type_symbol
_atom_site_fract_x
_atom_site_fract_y
_atom_site_fract_z
_atom_site_occupancy
Sc1 Sc 0.0000 0.0000 0.0920 1
Cd1 Cd 0.0000 0.0000 0.5000 1
Hg1 Hg 0.0000 0.0000 0.0000 1
# * ΔE_f: 0.076 eV/atom
# * excess energy over the best structure of this formula in the dataset: 437.0 meV/atom
# * crystal system: trigonal
# * N(E_F): 6.68 states/eV/f.u.

=====

7.
# Sc6CdHg5, optimized geometry, DFT GGA-PBE
data_Sc6CdHg5
_chemical_formula_sum 'Sc12 Cd2 Hg10'
_symmetry_space_group_name_H-M 'C m m m'
_symmetry_Int_Tables_number 65
_symmetry_space_group_name_Hall '-C 2 2'
_cell_length_a 4.971
_cell_length_b 14.973
_cell_length_c 7.050
_cell_angle_alpha 90.00
_cell_angle_beta 90.00
_cell_angle_gamma 90.00
loop_
_atom_site_label
_atom_site_type_symbol
_atom_site_fract_x
_atom_site_fract_y
_atom_site_fract_z
_atom_site_occupancy
Sc1 Sc 0.000 0.000 0.246 1
Sc2 Sc 0.000 0.332 0.251 1
Cd1 Cd 0.000 0.500 0.500 1
Hg1 Hg 0.000 0.161 0.500 1
Hg2 Hg 0.000 0.166 0.000 1
Hg3 Hg 0.000 0.500 0.000 1
# * ΔE_f: -0.408 eV/atom
# * crystal system: orthorhombic
# * N(E_F): 11.44 states/eV/f.u.

=====

8.
# ScCdHg2, optimized geometry, DFT GGA-PBE
data_ScCdHg2
_chemical_formula_sum 'Sc1 Cd1 Hg2'
_symmetry_space_group_name_H-M 'P 1 2/m 1'
_symmetry_Int_Tables_number 10
_cell_length_a 3.403
_cell_length_b 3.335
_cell_length_c 7.765
_cell_angle_alpha 90.00
_cell_angle_beta 90.13
_cell_angle_gamma 90.00
loop_
_symmetry_equiv_pos_as_xyz
'x,y,z'
'-x,-y,-z'
'-x,y,-z'
'x,-y,z'
loop_
_atom_site_label
_atom_site_type_symbol
_atom_site_fract_x
_atom_site_fract_y
_atom_site_fract_z
_atom_site_occupancy
Sc1 Sc 0.000 0.000 0.000 1
Cd1 Cd 0.000 0.000 0.500 1
Hg1 Hg 0.500 0.500 0.242 1
# * ΔE_f: -0.224 eV/atom
# * crystal system: monoclinic
# * N(E_F): 1.93 states/eV/f.u.

=====

9.
# ScCdHg2, optimized geometry, DFT GGA-PBE
data_ScCdHg2
_chemical_formula_sum 'Sc3 Cd3 Hg6'
_symmetry_space_group_name_H-M 'R 3 m'
_symmetry_Int_Tables_number 160
_symmetry_space_group_name_Hall 'R 3 -2"'
_cell_length_a 3.4636
_cell_length_b 3.4636
_cell_length_c 27.6377
_cell_angle_alpha 90.00
_cell_angle_beta 90.00
_cell_angle_gamma 120.00
loop_
_atom_site_label
_atom_site_type_symbol
_atom_site_fract_x
_atom_site_fract_y
_atom_site_fract_z
_atom_site_occupancy
Sc1 Sc 0.0000 0.0000 0.0000 1
Cd1 Cd 0.0000 0.0000 0.2490 1
Hg1 Hg 0.0000 0.0000 0.4989 1
Hg2 Hg 0.0000 0.0000 0.7468 1
# * ΔE_f: -0.082 eV/atom
# * crystal system: trigonal
# * N(E_F): 2.11 states/eV/f.u.

=====

10.
# ScCdHg, optimized geometry, DFT GGA-PBE
data_ScCdHg
_chemical_formula_sum 'Sc2 Cd2 Hg2'
_symmetry_space_group_name_H-M 'P 63/m m c'
_symmetry_Int_Tables_number 194
_symmetry_space_group_name_Hall '-P 6c 2c'
_cell_length_a 4.9749
_cell_length_b 4.9749
_cell_length_c 6.0414
_cell_angle_alpha 90.00
_cell_angle_beta 90.00
_cell_angle_gamma 120.00
loop_
_atom_site_label
_atom_site_type_symbol
_atom_site_fract_x
_atom_site_fract_y
_atom_site_fract_z
_atom_site_occupancy
Sc1 Sc 0.3333 0.6667 0.2500 1
Cd1 Cd 0.0000 0.0000 0.0000 1
Hg1 Hg 0.3333 0.6667 0.7500 1
# * ΔE_f: -0.329 eV/atom
# * crystal system: hexagonal
# * N(E_F): 1.53 states/eV/f.u.

=====

11.
# Sc3Cd2Hg3, optimized geometry, DFT GGA-PBE
data_Sc3Cd2Hg3
_chemical_formula_sum 'Sc3 Cd2 Hg3'
_symmetry_space_group_name_H-M 'P -6 2 m'
_symmetry_Int_Tables_number 189
_symmetry_space_group_name_Hall 'P -6 -2'
_cell_length_a 7.6538
_cell_length_b 7.6538
_cell_length_c 3.5558
_cell_angle_alpha 90.00
_cell_angle_beta 90.00
_cell_angle_gamma 120.00
loop_
_atom_site_label
_atom_site_type_symbol
_atom_site_fract_x
_atom_site_fract_y
_atom_site_fract_z
_atom_site_occupancy
Sc1 Sc 0.0000 0.6255 0.0000 1
Cd1 Cd 0.3333 0.6667 0.5000 1
Hg1 Hg 0.0000 0.2437 0.5000 1
# * ΔE_f: -0.220 eV/atom
# * excess energy over the best structure of this formula in the dataset: 81.3 meV/atom
# * crystal system: hexagonal
# * N(E_F): 7.35 states/eV/f.u.

=====

12.
# Sc2Cd2Hg, optimized geometry, DFT GGA-PBE
data_Sc2Cd2Hg
_chemical_formula_sum 'Sc4 Cd4 Hg2'
_symmetry_space_group_name_H-M 'C m m m'
_symmetry_Int_Tables_number 65
_symmetry_space_group_name_Hall '-C 2 2'
_cell_length_a 3.227
_cell_length_b 21.756
_cell_length_c 3.235
_cell_angle_alpha 90.00
_cell_angle_beta 90.00
_cell_angle_gamma 90.00
loop_
_atom_site_label
_atom_site_type_symbol
_atom_site_fract_x
_atom_site_fract_y
_atom_site_fract_z
_atom_site_occupancy
Sc1 Sc 0.000 0.093 0.000 1
Cd1 Cd 0.000 0.309 0.500 1
Hg1 Hg 0.000 0.500 0.500 1
# * ΔE_f: -0.224 eV/atom
# * excess energy over the best structure of this formula in the dataset: 0.0 meV/atom
# * crystal system: orthorhombic
# * N(E_F): 5.06 states/eV/f.u.

=====

13.
# Sc2CdHg, optimized geometry, DFT GGA-PBE
data_Sc2CdHg
_chemical_formula_sum 'Sc6 Cd3 Hg3'
_symmetry_space_group_name_H-M 'R 3 m'
_symmetry_Int_Tables_number 160
_symmetry_space_group_name_Hall 'R 3 -2"'
_cell_length_a 3.3823
_cell_length_b 3.3823
_cell_length_c 28.8625
_cell_angle_alpha 90.00
_cell_angle_beta 90.00
_cell_angle_gamma 120.00
loop_
_atom_site_label
_atom_site_type_symbol
_atom_site_fract_x
_atom_site_fract_y
_atom_site_fract_z
_atom_site_occupancy
Sc1 Sc 0.0000 0.0000 0.0000 1
Sc2 Sc 0.0000 0.0000 0.2443 1
Cd1 Cd 0.0000 0.0000 0.4947 1
Hg1 Hg 0.0000 0.0000 0.7457 1
# * ΔE_f: -0.103 eV/atom
# * excess energy over the best structure of this formula in the dataset: 258.2 meV/atom
# * crystal system: trigonal
# * N(E_F): 3.65 states/eV/f.u.

=====

14.
# ScCd7Hg12, optimized geometry, DFT GGA-PBE
data_ScCd7Hg12
_chemical_formula_sum 'Sc3 Cd21 Hg36'
_symmetry_space_group_name_H-M 'R -3'
_symmetry_Int_Tables_number 148
_symmetry_space_group_name_Hall '-R 3'
_cell_length_a 12.9181
_cell_length_b 12.9181
_cell_length_c 10.4858
_cell_angle_alpha 90.00
_cell_angle_beta 90.00
_cell_angle_gamma 120.00
loop_
_atom_site_label
_atom_site_type_symbol
_atom_site_fract_x
_atom_site_fract_y
_atom_site_fract_z
_atom_site_occupancy
Sc1 Sc 0.0000 0.0000 0.0000 1
Cd1 Cd 0.0000 0.0000 0.5000 1
Cd2 Cd 0.0073 0.8630 0.7551 1
Hg1 Hg 0.0459 0.7936 0.4275 1
Hg2 Hg 0.0587 0.2587 0.9641 1
# * ΔE_f: -0.019 eV/atom
# * excess energy over the best structure of this formula in the dataset: 0.0 meV/atom
# * crystal system: trigonal
# * N(E_F): 6.94 states/eV/f.u.

=====

15.
# ScCdHg, optimized geometry, DFT GGA-PBE
data_ScCdHg
_chemical_formula_sum 'Sc2 Cd2 Hg2'
_symmetry_space_group_name_H-M 'C 1 m 1'
_symmetry_Int_Tables_number 8
_cell_length_a 6.040
_cell_length_b 5.131
_cell_length_c 4.756
_cell_angle_alpha 90.00
_cell_angle_beta 112.44
_cell_angle_gamma 90.00
loop_
_symmetry_equiv_pos_as_xyz
'x,y,z'
'x,-y,z'
'x+1/2,y+1/2,z'
'x+1/2,-y+1/2,z'
loop_
_atom_site_label
_atom_site_type_symbol
_atom_site_fract_x
_atom_site_fract_y
_atom_site_fract_z
_atom_site_occupancy
Sc1 Sc 0.000 0.000 0.000 1
Cd1 Cd 0.350 0.000 0.663 1
Hg1 Hg 0.177 0.500 0.330 1
# * ΔE_f: -0.192 eV/atom
# * crystal system: monoclinic
# * N(E_F): 1.31 states/eV/f.u.

=====

16.
# Sc2CdHg3, optimized geometry, DFT GGA-PBE
data_Sc2CdHg3
_chemical_formula_sum 'Sc16 Cd8 Hg24'
_symmetry_space_group_name_H-M 'F m m m'
_symmetry_Int_Tables_number 69
_symmetry_space_group_name_Hall '-F 2 2'
_cell_length_a 6.434
_cell_length_b 9.744
_cell_length_c 16.790
_cell_angle_alpha 90.00
_cell_angle_beta 90.00
_cell_angle_gamma 90.00
loop_
_atom_site_label
_atom_site_type_symbol
_atom_site_fract_x
_atom_site_fract_y
_atom_site_fract_z
_atom_site_occupancy
Sc1 Sc 0.248 0.000 0.000 1
Sc2 Sc 0.250 0.250 0.250 1
Cd1 Cd 0.000 0.000 0.333 1
Hg1 Hg 0.000 0.000 0.167 1
Hg2 Hg 0.000 0.247 0.416 1
# * ΔE_f: -0.264 eV/atom
# * excess energy over the best structure of this formula in the dataset: 43.1 meV/atom
# * crystal system: orthorhombic
# * N(E_F): 3.57 states/eV/f.u.

=====

17.
# ScCdHg, optimized geometry, DFT GGA-PBE
data_ScCdHg
_chemical_formula_sum 'Sc1 Cd1 Hg1'
_symmetry_space_group_name_H-M 'P -6 m 2'
_symmetry_Int_Tables_number 187
_symmetry_space_group_name_Hall 'P -6 2'
_cell_length_a 4.8472
_cell_length_b 4.8472
_cell_length_c 3.2418
_cell_angle_alpha 90.00
_cell_angle_beta 90.00
_cell_angle_gamma 120.00
loop_
_atom_site_label
_atom_site_type_symbol
_atom_site_fract_x
_atom_site_fract_y
_atom_site_fract_z
_atom_site_occupancy
Sc1 Sc 0.0000 0.0000 0.0000 1
Cd1 Cd 0.6667 0.3333 0.5000 1
Hg1 Hg 0.3333 0.6667 0.5000 1
# * ΔE_f: -0.263 eV/atom
# * crystal system: hexagonal
# * N(E_F): 2.10 states/eV/f.u.

=====

18.
# Sc2CdHg, optimized geometry, DFT GGA-PBE
data_Sc2CdHg
_chemical_formula_sum 'Sc8 Cd4 Hg4'
_symmetry_space_group_name_H-M 'I -4 2 d'
_symmetry_Int_Tables_number 122
_symmetry_space_group_name_Hall 'I -4 2bw'
_cell_length_a 7.764
_cell_length_b 7.764
_cell_length_c 6.527
_cell_angle_alpha 90.00
_cell_angle_beta 90.00
_cell_angle_gamma 90.00
loop_
_atom_site_label
_atom_site_type_symbol
_atom_site_fract_x
_atom_site_fract_y
_atom_site_fract_z
_atom_site_occupancy
Sc1 Sc 0.239 0.250 0.125 1
Cd1 Cd 0.000 0.000 0.500 1
Hg1 Hg 0.000 0.000 0.000 1
# * ΔE_f: 0.024 eV/atom
# * excess energy over the best structure of this formula in the dataset: 385.1 meV/atom
# * crystal system: tetragonal
# * N(E_F): 5.90 states/eV/f.u.

=====

19.
# Sc3Cd2Hg3, optimized geometry, DFT GGA-PBE
data_Sc3Cd2Hg3
_chemical_formula_sum 'Sc6 Cd4 Hg6'
_symmetry_space_group_name_H-M 'I m m m'
_symmetry_Int_Tables_number 71
_symmetry_space_group_name_Hall '-I 2 2'
_cell_length_a 3.593
_cell_length_b 4.968
_cell_length_c 19.698
_cell_angle_alpha 90.00
_cell_angle_beta 90.00
_cell_angle_gamma 90.00
loop_
_atom_site_label
_atom_site_type_symbol
_atom_site_fract_x
_atom_site_fract_y
_atom_site_fract_z
_atom_site_occupancy
Sc1 Sc 0.000 0.000 0.000 1
Sc2 Sc 0.000 0.500 0.127 1
Cd1 Cd 0.000 0.000 0.244 1
Hg1 Hg 0.000 0.000 0.500 1
Hg2 Hg 0.000 0.500 0.380 1
# * ΔE_f: -0.301 eV/atom
# * excess energy over the best structure of this formula in the dataset: 0.0 meV/atom
# * crystal system: orthorhombic
# * N(E_F): 5.66 states/eV/f.u.

=====

20.
# Sc4CdHg, optimized geometry, DFT GGA-PBE
data_Sc4CdHg
_chemical_formula_sum 'Sc16 Cd4 Hg4'
_symmetry_space_group_name_H-M 'F -4 3 m'
_symmetry_Int_Tables_number 216
_symmetry_space_group_name_Hall 'F -4 2 3'
_cell_length_a 8.278
_cell_length_b 8.278
_cell_length_c 8.278
_cell_angle_alpha 90.00
_cell_angle_beta 90.00
_cell_angle_gamma 90.00
loop_
_atom_site_label
_atom_site_type_symbol
_atom_site_fract_x
_atom_site_fract_y
_atom_site_fract_z
_atom_site_occupancy
Sc1 Sc 0.125 0.125 0.125 1
Cd1 Cd 0.250 0.250 0.750 1
Hg1 Hg 0.000 0.000 0.500 1
# * ΔE_f: 0.186 eV/atom
# * excess energy over the best structure of this formula in the dataset: 416.4 meV/atom
# * crystal system: cubic
# * N(E_F): 6.71 states/eV/f.u.

=====

The evaluated total DFT energy (no corrections) for the records listed, in turn: -26.83 -27.51 -5.84 -25.28 -44.19 -40.73 -90.62 -8.75 -24.53 -17.07 -23.49 -31.83 -42.88 -50.23 -16.25 -128.55 -8.34 -55.14 -48.28 -101.70 eV per cell.